VASP calculation (GGA-PBE) on a geometry-optimized ScZnSb2Os structure.

a = 5.403 Å, b = 4.841 Å, c = 5.403 Å
α = 90.00°, β = 90.00°, γ = 90.00°
Each line ends with the local moment (μB).
Positions (direct):
Sc: 0.000 0.000 0.000  -0.02
Sb: 0.000 0.000 0.500  -0.03
Sb: 0.500 0.000 0.000  0.01
Zn: 0.500 0.500 0.500  0.03
Os: 0.000 0.500 0.000  1.09

Properties
SG	No. 123
uncorrected energy	-21.35	eV for the cell shown

***

VASP calculation (GGA-PBE) on a geometry-optimized SbOsSe2 structure.

a = 6.662 Å, b = 6.662 Å, c = 6.662 Å
α = 152.85°, β = 140.08°, γ = 48.95°
Positions (direct):
Os: 0.484 0.484 0.000
Sb: 0.676 0.176 0.500
Se: 0.017 0.017 0.000
Se: 0.323 0.823 0.500

Properties
SG	No. 44
uncorrected energy	-21.07	eV for the cell shown

***

VASP calculation (GGA-PBE) on a geometry-optimized SbOsSe structure.

a = 6.521 Å, b = 6.521 Å, c = 7.392 Å
α = 106.83°, β = 106.83°, γ = 110.10°
Positions (direct):
Sb: 0.138 0.440 0.649
Sb: 0.190 0.388 0.149
Sb: 0.239 0.041 0.851
Sb: 0.791 0.489 0.351
Os: 0.944 0.960 0.478
Os: 0.216 0.733 0.022
Os: 0.483 0.466 0.522
Os: 0.710 0.194 0.978
Se: 0.664 0.890 0.132
Se: 0.282 0.008 0.368
Se: 0.640 0.914 0.632
Se: 0.758 0.532 0.868

Properties
SG	No. 43
uncorrected energy	-74.81	eV for the cell shown

***

VASP calculation (GGA-PBE) on a geometry-optimized Sb2OsSe structure.

a = 3.247 Å, b = 5.015 Å, c = 5.015 Å
α = 90.00°, β = 90.00°, γ = 90.00°
Positions (direct):
Os: 0.500 0.000 0.500
Sb: 0.000 0.000 0.000
Sb: 0.000 0.500 0.500
Se: 0.500 0.500 0.000

Properties
SG	No. 123
uncorrected energy	-20.12	eV for the cell shown

***

| no. | formation energy from raw total energies (kJ/mol of formula units) |
| --- | --- |
| 1 | 552.6 |
| 2 | 120.9 |
| 3 | 13.0 |
| 4 | 273.6 |